{
  "formula": "Li2ReN2",
  "functional": "PBE",
  "state": "optimized geometry",
  "cell": [[2.998, 0.000, 0.000], [-1.499, 2.597, 0.000], [0.000, 0.000, 5.596]],
  "species": ["Li", "Li", "Re", "N", "N"],
  "fractional_positions": [[0.333, 0.667, 0.130], [0.667, 0.333, 0.870], [0.000, 0.000, 0.500], [0.333, 0.667, 0.728], [0.667, 0.333, 0.272]],
  "crystal_system": "trigonal",
  "final_energy_ev_per_atom": -6.791
}